# Cs3K5I12 PBE optimized geometry
# N(E_F) in states/eV/f.u.: 11.832
# Formation energy (no corrections) in eV per atom: -0.99
# Total moment in μB/f.u.: 4.16
# VASP energy in eV per cell: -372.36
# Volume in Å³ per cell: 9888.9
data_Cs3K5I12
_space_group_name_H-M_alt 'I a -3 d'
_space_group_IT_number 230
_space_group_name_Hall '-I 4bd 2c 3'
_cell_length_a 21.464
_cell_length_b 21.464
_cell_length_c 21.464
_cell_angle_alpha 90.00
_cell_angle_beta 90.00
_cell_angle_gamma 90.00
loop_
_atom_site_label
_atom_site_fract_x
_atom_site_fract_y
_atom_site_fract_z
Cs1 0.000 0.250 0.125
K1 0.000 0.000 0.000
K2 0.000 0.250 0.375
I1 0.015 0.077 0.663

=====

# MgIn3 PBE optimized geometry
# N(E_F) in states/eV/f.u.: 2.093
# Total moment in μB/f.u.: 0.00
# VASP energy in eV per cell: -9.94
# E_form in meV/atom: -33
# Volume in Å³ per cell: 100.2
data_MgIn3
_space_group_name_H-M_alt 'P m -3 m'
_space_group_IT_number 221
_space_group_name_Hall '-P 4 2 3'
_cell_length_a 4.645
_cell_length_b 4.645
_cell_length_c 4.645
_cell_angle_alpha 90.00
_cell_angle_beta 90.00
_cell_angle_gamma 90.00
loop_
_atom_site_label
_atom_site_fract_x
_atom_site_fract_y
_atom_site_fract_z
Mg1 0.000 0.000 0.000
In1 0.000 0.500 0.500

=====

# MgScAlIr PBE optimized geometry
# N(E_F) in states/eV/f.u.: 3.945
# Total moment in μB/f.u.: 0.00
# VASP energy in eV per cell: -91.72
# E_form in meV/atom: -600
# Volume in Å³ per cell: 266.9
data_MgScAlIr
_space_group_name_H-M_alt 'F -4 3 m'
_space_group_IT_number 216
_space_group_name_Hall 'F -4 2 3'
_cell_length_a 6.439
_cell_length_b 6.439
_cell_length_c 6.439
_cell_angle_alpha 90.00
_cell_angle_beta 90.00
_cell_angle_gamma 90.00
loop_
_atom_site_label
_atom_site_fract_x
_atom_site_fract_y
_atom_site_fract_z
Mg1 0.000 0.000 0.000
Sc1 0.250 0.250 0.750
Al1 0.250 0.250 0.250
Ir1 0.000 0.000 0.500

=====

# SmMg4In4 PBE optimized geometry
# N(E_F) in states/eV/f.u.: 4.335
# Total moment in μB/f.u.: 0.00
# VASP energy in eV per cell: -45.47
# E_form in meV/atom: -76
# Volume in Å³ per cell: 461.1
data_SmMg4In4
_space_group_name_H-M_alt 'P 42/n m c'
_space_group_IT_number 137
_cell_length_a 6.819
_cell_length_b 6.819
_cell_length_c 9.916
_cell_angle_alpha 90.00
_cell_angle_beta 90.00
_cell_angle_gamma 90.00
loop_
_space_group_symop_operation_xyz
'x,y,z'
'-x,-y,-z'
'-y+1/2,x,z+1/2'
'y+1/2,-x,-z+1/2'
'-x+1/2,-y+1/2,z'
'x+1/2,y+1/2,-z'
'y,-x+1/2,z+1/2'
'-y,x+1/2,-z+1/2'
'x+1/2,-y,-z'
'-x+1/2,y,z'
'-y,-x,-z+1/2'
'y,x,z+1/2'
'-x,y+1/2,-z'
'x,-y+1/2,z'
'y+1/2,x+1/2,-z+1/2'
'-y+1/2,-x+1/2,z+1/2'
loop_
_atom_site_label
_atom_site_fract_x
_atom_site_fract_y
_atom_site_fract_z
Sm1 0.250 0.750 0.250
Mg1 0.028 0.250 0.174
In1 0.023 0.250 0.467

=====

# RbGaGe2Cl8 PBE optimized geometry
# N(E_F) in states/eV/f.u.: 0.000
# Formation energy (no corrections) in eV per atom: -1.05
# Total moment in μB/f.u.: 0.00
# VASP energy in eV per cell: -40.60
# Volume in Å³ per cell: 400.8
data_RbGaGe2Cl8
_space_group_name_H-M_alt 'P -1'
_space_group_IT_number 2
_space_group_name_Hall '-P 1'
_cell_length_a 6.316
_cell_length_b 7.217
_cell_length_c 9.093
_cell_angle_alpha 78.89
_cell_angle_beta 81.73
_cell_angle_gamma 83.40
loop_
_atom_site_label
_atom_site_fract_x
_atom_site_fract_y
_atom_site_fract_z
Rb1 0.000 0.000 0.000
Ga1 0.000 0.000 0.500
Ge1 0.484 0.396 0.255
Cl1 0.153 0.757 0.718
Cl2 0.177 0.834 0.332
Cl3 0.305 0.207 0.475
Cl4 0.439 0.236 0.066

=====

# LaAg2O PBE optimized geometry
# N(E_F) in states/eV/f.u.: 1.433
# Formation energy (no corrections) in eV per atom: -0.89
# Total moment in μB/f.u.: 0.00
# VASP energy in eV per cell: -76.52
# Volume in Å³ per cell: 369.6
data_LaAg2O
_space_group_name_H-M_alt 'I -4 2 d'
_space_group_IT_number 122
_space_group_name_Hall 'I -4 2bw'
_cell_length_a 9.030
_cell_length_b 9.030
_cell_length_c 4.532
_cell_angle_alpha 90.00
_cell_angle_beta 90.00
_cell_angle_gamma 90.00
loop_
_atom_site_label
_atom_site_fract_x
_atom_site_fract_y
_atom_site_fract_z
La1 0.000 0.000 0.000
Ag1 0.173 0.250 0.625
O1 0.000 0.000 0.500

=====

# In3Ni PBE optimized geometry
# N(E_F) in states/eV/f.u.: 2.174
# Total moment in μB/f.u.: 0.00
# VASP energy in eV per cell: -38.56
# E_form in meV/atom: 286
# Volume in Å³ per cell: 263.9
data_In3Ni
_space_group_name_H-M_alt 'R -3 m'
_space_group_IT_number 166
_space_group_name_Hall '-R 3 2"'
_cell_length_a 9.3660
_cell_length_b 9.3660
_cell_length_c 3.4744
_cell_angle_alpha 90.00
_cell_angle_beta 90.00
_cell_angle_gamma 120.00
loop_
_atom_site_label
_atom_site_fract_x
_atom_site_fract_y
_atom_site_fract_z
In1 0.0000 0.5000 0.0000
Ni1 0.0000 0.0000 0.0000

=====

# YScAsBr2 PBE optimized geometry
# N(E_F) in states/eV/f.u.: 3.726
# Formation energy (no corrections) in eV per atom: -0.77
# Total moment in μB/f.u.: 0.68
# VASP energy in eV per cell: -24.66
# Volume in Å³ per cell: 139.8
# Energy above the most stable polymorph in this dataset in eV per atom: 0.000
data_YScAsBr2
_space_group_name_H-M_alt 'P 4/m m m'
_space_group_IT_number 123
_space_group_name_Hall '-P 4 2'
_cell_length_a 5.064
_cell_length_b 5.064
_cell_length_c 5.449
_cell_angle_alpha 90.00
_cell_angle_beta 90.00
_cell_angle_gamma 90.00
loop_
_atom_site_label
_atom_site_fract_x
_atom_site_fract_y
_atom_site_fract_z
Y1 0.000 0.000 0.000
Sc1 0.500 0.500 0.500
As1 0.500 0.500 0.000
Br1 0.000 0.500 0.500

=====

# ZnTcI3 PBE optimized geometry
# N(E_F) in states/eV/f.u.: 6.237
# Formation energy (no corrections) in eV per atom: 0.75
# Total moment in μB/f.u.: 5.27
# VASP energy in eV per cell: -12.54
# Volume in Å³ per cell: 172.6
# Energy above the most stable polymorph in this dataset in eV per atom: 0.359
data_ZnTcI3
_space_group_name_H-M_alt 'P m -3 m'
_space_group_IT_number 221
_space_group_name_Hall '-P 4 2 3'
_cell_length_a 5.568
_cell_length_b 5.568
_cell_length_c 5.568
_cell_angle_alpha 90.00
_cell_angle_beta 90.00
_cell_angle_gamma 90.00
loop_
_atom_site_label
_atom_site_fract_x
_atom_site_fract_y
_atom_site_fract_z
Zn1 0.000 0.000 0.000
Tc1 0.500 0.500 0.500
I1 0.000 0.000 0.500

=====

# ScB2S6 PBE optimized geometry
# N(E_F) in states/eV/f.u.: 2.770
# Formation energy (no corrections) in eV per atom: -0.49
# Total moment in μB/f.u.: 0.00
# VASP energy in eV per cell: -195.38
# Volume in Å³ per cell: 698.7
data_ScB2S6
_space_group_name_H-M_alt 'C 1 2/c 1'
_space_group_IT_number 15
_space_group_name_Hall '-C 2yc'
_cell_length_a 12.277
_cell_length_b 9.334
_cell_length_c 6.141
_cell_angle_alpha 90.00
_cell_angle_beta 96.89
_cell_angle_gamma 90.00
loop_
_atom_site_label
_atom_site_fract_x
_atom_site_fract_y
_atom_site_fract_z
Sc1 0.000 0.119 0.250
B1 0.231 0.433 0.364
S1 0.118 0.083 0.613
S2 0.154 0.456 0.619
S3 0.156 0.296 0.171

=====

# CsRh3C PBE optimized geometry
# N(E_F) in states/eV/f.u.: 8.551
# Total moment in μB/f.u.: 1.19
# VASP energy in eV per cell: -15.15
# E_form in meV/atom: 3396
# Volume in Å³ per cell: 122.1
# Energy above the most stable polymorph in this dataset in eV per atom: 2.600
data_CsRh3C
_space_group_name_H-M_alt 'P m -3 m'
_space_group_IT_number 221
_space_group_name_Hall '-P 4 2 3'
_cell_length_a 4.961
_cell_length_b 4.961
_cell_length_c 4.961
_cell_angle_alpha 90.00
_cell_angle_beta 90.00
_cell_angle_gamma 90.00
loop_
_atom_site_label
_atom_site_fract_x
_atom_site_fract_y
_atom_site_fract_z
Cs1 0.000 0.000 0.000
Rh1 0.000 0.000 0.500
C1 0.500 0.500 0.500

=====

# Ag4SnSe5 PBE optimized geometry
# N(E_F) in states/eV/f.u.: 5.394
# Formation energy (no corrections) in eV per atom: -0.12
# Total moment in μB/f.u.: 0.00
# VASP energy in eV per cell: -68.10
# Volume in Å³ per cell: 444.3
data_Ag4SnSe5
_space_group_name_H-M_alt 'I 4/m'
_space_group_IT_number 87
_space_group_name_Hall '-I 4'
_cell_length_a 8.924
_cell_length_b 8.924
_cell_length_c 5.579
_cell_angle_alpha 90.00
_cell_angle_beta 90.00
_cell_angle_gamma 90.00
loop_
_atom_site_label
_atom_site_fract_x
_atom_site_fract_y
_atom_site_fract_z
Ag1 0.108 0.708 0.000
Sn1 0.000 0.000 0.500
Se1 0.000 0.000 0.000
Se2 0.079 0.704 0.500